# GGA-PBE Tm3Lu4Ni2S2, relaxed
data_Tm3Lu4Ni2S2
_space_group_name_H-M_alt 'I m m 2'
_space_group_IT_number 44
_space_group_name_Hall 'I 2 -2'
_cell_length_a 3.692
_cell_length_b 14.504
_cell_length_c 9.015
_cell_angle_alpha 90.00
_cell_angle_beta 90.00
_cell_angle_gamma 90.00
loop_
_atom_site_label
_atom_site_type_symbol
_atom_site_fract_x
_atom_site_fract_y
_atom_site_fract_z
Tm1 Tm 0.000 0.000 0.000
Tm2 Tm 0.000 0.120 0.403
Lu1 Lu 0.000 0.314 0.610
Lu2 Lu 0.000 0.366 0.249
Ni1 Ni 0.000 0.239 0.911
S1 S 0.000 0.000 0.653
S2 S 0.000 0.500 0.746
# - raw total energy (eV per atom) = -5.499